# Ac2TeSe

A relaxed Ac2TeSe crystal (PBE-GGA, Alexandria).

Uncorrected formation energy = -1.66 eV per atom
SG = No. 160
ΔE to the lowest computed polymorph = 24 meV/atom

Cell lengths 8.415, 8.415, 8.415 Å; angles 30.89, 30.89, 30.89 degrees
Fractional positions:
Ac (0.000, 0.000, 0.000)
Ac (0.185, 0.185, 0.185)
Te (0.760, 0.760, 0.760)
Se (0.591, 0.591, 0.591)